## 1
Material: ThB3Ir3
Method: DFT, PBE-GGA
State: relaxed

Unit cell a=5.927 b=5.927 c=5.927 alpha=90.00 beta=90.00 gamma=90.00
Positions (direct):
B: 0.250 0.000 0.500
B: 0.000 0.500 0.250
B: 0.500 0.750 0.000
B: 0.750 0.000 0.500
B: 0.000 0.500 0.750
B: 0.500 0.250 0.000
Ir: 0.000 0.250 0.500
Ir: 0.000 0.750 0.500
Ir: 0.500 0.000 0.750
Ir: 0.750 0.500 0.000
Ir: 0.500 0.000 0.250
Ir: 0.250 0.500 0.000
Th: 0.500 0.500 0.500
Th: 0.000 0.000 0.000

* N(E_F): 9.86 states/eV per cell

---

## 2
Material: ThB3Ir3
Method: DFT, PBE-GGA
State: relaxed

Unit cell a=3.700 b=7.989 c=7.989 alpha=120.00 beta=90.00 gamma=90.00
Positions (direct):
Th: 0.250 0.667 0.333
Th: 0.750 0.333 0.667
B: 0.750 0.628 0.578
B: 0.750 0.950 0.372
B: 0.250 0.578 0.950
B: 0.750 0.422 0.050
B: 0.250 0.050 0.628
B: 0.250 0.372 0.422
Ir: 0.750 0.930 0.660
Ir: 0.750 0.729 0.070
Ir: 0.250 0.660 0.729
Ir: 0.750 0.340 0.271
Ir: 0.250 0.271 0.930
Ir: 0.250 0.070 0.340

* N(E_F): 6.93 states/eV per cell

---

Relative energies, unit eV/atom: 1 0.000; 2 0.016

---

## 1
Material: TiB2Ir
Method: DFT, PBE-GGA
State: relaxed

Unit cell a=3.712 b=3.712 c=7.891 alpha=76.40 beta=76.40 gamma=90.00
Positions (direct):
B: 0.875 0.125 0.250
B: 0.875 0.625 0.250
B: 0.375 0.125 0.750
B: 0.875 0.125 0.750
Ir: 0.000 0.000 0.000
Ir: 0.750 0.250 0.500
Ti: 0.500 0.500 0.000
Ti: 0.250 0.750 0.500

* N(E_F): 5.68 states/eV per cell

---

## 2
Material: TiB2Ir
Method: DFT, PBE-GGA
State: relaxed

Unit cell a=3.888 b=3.888 c=3.888 alpha=60.00 beta=60.00 gamma=60.00
Positions (direct):
B: 0.250 0.250 0.250
B: 0.750 0.750 0.750
Ir: 0.500 0.500 0.500
Ti: 0.000 0.000 0.000

* N(E_F): 3.85 states/eV per cell

---

Relative energies, unit eV/atom: 1 0.058; 2 0.000

---

## 1
Material: Ti2BIr2
Method: DFT, PBE-GGA
State: relaxed

Unit cell a=3.692 b=3.692 c=6.666 alpha=73.92 beta=73.92 gamma=90.00
Positions (direct):
B: 0.000 0.000 0.000
Ir: 0.750 0.250 0.500
Ir: 0.250 0.750 0.500
Ti: 0.393 0.393 0.214
Ti: 0.607 0.607 0.786

* N(E_F): 3.43 states/eV per cell

---

## 2
Material: Ti2BIr2
Method: DFT, PBE-GGA
State: relaxed

Unit cell a=7.241 b=7.241 c=2.945 alpha=90.00 beta=90.00 gamma=90.00
Positions (direct):
B: 0.000 0.000 0.000
B: 0.500 0.500 0.000
Ir: 0.135 0.635 0.500
Ir: 0.635 0.865 0.500
Ir: 0.865 0.365 0.500
Ir: 0.365 0.135 0.500
Ti: 0.335 0.835 0.000
Ti: 0.835 0.665 0.000
Ti: 0.665 0.165 0.000
Ti: 0.165 0.335 0.000

* N(E_F): 7.72 states/eV per cell

---

Relative energies, unit eV/atom: 1 0.262; 2 0.000